(1)
A relaxed BaLiCd crystal, computed with PBEsol.

Values from the calculation:
The energy above the most stable polymorph in this dataset comes out at 169.0 meV per atom. The calculation puts the size of the total moment at 0.000 μB per atom. The calculation puts the total energy at -1.769 eV/atom. The symmetry is No. 216.

Lattice parameters (Å, degrees): 5.4580 5.4580 5.4580 60.00 60.00 60.00
With the nearest neighbours (Å) after each atom.
Sites, in units of the cell vectors:
Li  0.0000  0.0000  0.0000  4 Cd 3.34
Ba  0.5000  0.5000  0.5000  4 Cd 3.34
Cd  0.2500  0.2500  0.2500  4 Ba 3.34, 4 Li 3.34

---

(2)
A relaxed BCl2O crystal, computed with PBEsol.

Values from the calculation:
The calculation puts the size of the total moment at 0.314 μB per atom. The calculation puts the total energy at -2.566 eV/atom. The symmetry is No. 225. The calculation puts the raw formation energy at 1505 meV per atom.

Lattice parameters (Å, degrees): 4.1171 4.1171 4.1171 60.00 60.00 60.00
With the nearest neighbours (Å) after each atom.
Sites, in units of the cell vectors:
Cl  0.7500  0.7500  0.7500  4 O 2.52, 4 B 2.52
Cl  0.2500  0.2500  0.2500  4 B 2.52, 4 O 2.52
B  0.0000  0.0000  0.0000  8 Cl 2.52
O  0.5000  0.5000  0.5000  8 Cl 2.52

---

(3)
A relaxed SbTeIr2 crystal, computed with PBEsol.

Values from the calculation:
The energy above the most stable polymorph in this dataset comes out at 114.9 meV per atom. The calculation puts the size of the total moment at 0.001 μB per atom. The calculation puts the total energy at -6.689 eV/atom. The symmetry is No. 99. The calculation puts the raw formation energy at 244 meV per atom.

Lattice parameters (Å, degrees): 3.2240 3.2240 7.8653 90.00 90.00 90.00
With the nearest neighbours (Å) after each atom.
Sites, in units of the cell vectors:
Ir  0.5000  0.5000  0.2396  4 Sb 2.70, 4 Ir 2.94
Ir  0.0000  0.0000  0.0042  4 Te 2.65, 4 Ir 2.94
Sb  0.0000  0.0000  0.4240  4 Ir 2.70
Te  0.5000  0.5000  0.8322  4 Ir 2.65